# 1
Material: SrZrCr4
Method: DFT, PBE
State: optimized geometry

Summary:
- ΔE_f (eV per atom) = 0.66
- magnetic moment (μB/f.u.) = 0.0

Unit cell a=5.1848 b=5.1848 c=5.1848 alpha=60.00 beta=60.00 gamma=60.00
Fractional positions:
Sr1 0.7500 0.7500 0.7500
Zr1 0.0000 0.0000 0.0000
Cr1 0.8741 0.3753 0.3753
Cr2 0.3753 0.3753 0.8741
Cr3 0.3753 0.8741 0.3753
Cr4 0.3753 0.3753 0.3753

***

# 2
Material: RbNaTa2Sb
Method: DFT, PBE
State: optimized geometry

Summary:
- ΔE to the lowest computed polymorph (meV per atom) = 70
- raw formation energy (eV per atom) = 1.45
- magnetic moment (μB/f.u.) = 3.0

Unit cell a=5.2503 b=6.5946 c=5.2503 alpha=90.00 beta=90.00 gamma=90.00
Site moments in Bohr magnetons follow the coordinates.
Fractional positions:
Sb1 0.0000 0.0000 0.0000  -0.03
Na1 0.5000 0.5000 0.5000  -0.01
Rb1 0.0000 0.5000 0.0000  0.01
Ta1 0.0000 0.0000 0.5000  0.97
Ta2 0.5000 0.0000 0.0000  0.82

***

# 3
Material: LuPtRhAu
Method: DFT, PBE
State: optimized geometry

Summary:
- ΔE_f (eV per atom) = -0.67
- magnetic moment (μB/f.u.) = 0.0

Unit cell a=4.6465 b=4.6465 c=4.6465 alpha=60.00 beta=60.00 gamma=60.00
Fractional positions:
Rh1 0.7500 0.7500 0.7500
Lu1 0.5000 0.5000 0.5000
Au1 0.0000 0.0000 0.0000
Pt1 0.2500 0.2500 0.2500

***

# 4
Material: Mg2CrAu
Method: DFT, PBE
State: optimized geometry

Summary:
- ΔE_f (eV per atom) = -0.06
- magnetic moment (μB/f.u.) = 4.3

Unit cell a=5.1590 b=5.1590 c=5.1590 alpha=132.80 beta=132.80 gamma=68.97
Site moments in Bohr magnetons follow the coordinates.
Fractional positions:
Au1 0.5000 0.5000 0.0000  0.06
Cr1 0.7500 0.2500 0.5000  3.69
Mg1 0.0000 0.0000 0.0000  0.00
Mg2 0.2500 0.7500 0.5000  -0.01

***

# 5
Material: Li8HgO6
Method: DFT, PBE
State: optimized geometry

Summary:
- raw formation energy (eV per atom) = -1.44
- magnetic moment (μB/f.u.) = 2.0

Unit cell a=5.6167 b=5.6167 c=6.1959 alpha=63.05 beta=63.05 gamma=60.00
Site moments in Bohr magnetons follow the coordinates.
Fractional positions:
Li1 0.5220 0.2223 0.3569  0.01
Li2 0.7777 0.1011 0.6431  0.01
Li3 0.1011 0.4780 0.6431  0.01
Li4 0.6526 0.6526 0.0421  0.00
Li5 0.3474 0.3474 0.9579  0.00
Li6 0.8989 0.5220 0.3569  0.01
Li7 0.2223 0.8989 0.3569  0.01
Li8 0.4780 0.7777 0.6431  0.01
Hg1 0.0000 0.0000 0.0000  0.30
O1 0.4022 0.1000 0.7442  0.23
O2 0.9000 0.2464 0.2558  0.23
O3 0.2464 0.5978 0.2558  0.23
O4 0.7536 0.4022 0.7442  0.23
O5 0.1000 0.7536 0.7442  0.23
O6 0.5978 0.9000 0.2558  0.23

***

# 6
Material: PmSm2Pb2
Method: DFT, PBE
State: optimized geometry

Summary:
- ΔE_f (eV per atom) = -0.34
- ΔE to the lowest computed polymorph (meV per atom) = 0
- magnetic moment (μB/f.u.) = 1.0

Unit cell a=6.4527 b=8.8560 c=8.1335 alpha=122.98 beta=113.37 gamma=90.00
Site moments in Bohr magnetons follow the coordinates.
Fractional positions:
Pm1 0.7500 0.5000 0.0000  0.32
Pm2 0.2500 0.5000 0.0000  0.32
Sm1 0.8574 0.7188 0.7148  0.09
Sm2 0.1426 0.2812 0.2852  0.09
Sm3 0.6426 0.0041 0.2852  0.09
Sm4 0.3574 0.9959 0.7148  0.09
Pb1 0.3808 0.6608 0.7616  -0.01
Pb2 0.6192 0.3392 0.2384  -0.01
Pb3 0.1192 0.8992 0.2384  -0.01
Pb4 0.8808 0.1008 0.7616  -0.01

***

# 7
Material: Ba2AgHg8
Method: DFT, PBE
State: optimized geometry

Summary:
- ΔE_f (eV per atom) = -0.29
- magnetic moment (μB/f.u.) = 0.0

Unit cell a=5.4598 b=7.5434 c=9.1082 alpha=114.47 beta=107.44 gamma=90.00
Fractional positions:
Ba1 0.2137 0.7137 0.4275
Ba2 0.7863 0.2863 0.5725
Ag1 0.5000 0.0000 0.0000
Hg1 0.6117 0.4111 0.2233
Hg2 0.3882 0.1875 0.7765
Hg3 0.1427 0.1429 0.2853
Hg4 0.0001 0.7107 0.0001
Hg5 0.8573 0.8571 0.7147
Hg6 0.6118 0.8125 0.2235
Hg7 0.3883 0.5889 0.7767
Hg8 0.9999 0.2893 0.9999

***

# 8
Material: CaAc7
Method: DFT, PBE
State: optimized geometry

Summary:
- ΔE_f (eV per atom) = 0.00
- magnetic moment (μB/f.u.) = 0.0

Unit cell a=7.9541 b=7.9541 c=7.9541 alpha=60.00 beta=60.00 gamma=60.00
Fractional positions:
Ca1 0.0000 0.0000 0.0000
Ac1 0.5000 0.5000 0.0000
Ac2 0.5000 0.0000 0.5000
Ac3 0.0000 0.5000 0.5000
Ac4 0.5000 0.0000 0.0000
Ac5 0.0000 0.5000 0.0000
Ac6 0.0000 0.0000 0.5000
Ac7 0.5000 0.5000 0.5000

***

Values for DFT total energy, Ry/atom, ordered as above
-0.548; -0.336; -0.438; -0.300; -0.328; -0.342; -0.082; -0.282